Arrangement one

SrHg2H after structural relaxation, computed with GGA-PBE.

```
data_SrHg2H
_symmetry_space_group_name_H-M 'P 1'
_symmetry_Int_Tables_number 1
_symmetry_space_group_name_Hall 'P 1'
_cell_length_a 5.2963
_cell_length_b 5.2963
_cell_length_c 5.2963
_cell_angle_alpha 60.00
_cell_angle_beta 60.00
_cell_angle_gamma 60.00
loop_
_atom_site_label
_atom_site_type_symbol
_atom_site_fract_x
_atom_site_fract_y
_atom_site_fract_z
Sr1 Sr 0.0000 0.0000 0.0000
Hg1 Hg 0.2500 0.2500 0.2500
Hg2 Hg 0.7500 0.7500 0.7500
H1 H 0.5000 0.5000 0.5000
```

Results
DOS at the Fermi energy: 0.723 states/eV per atom
SG: No. 225
Total magnetization: 0.00 μB/f.u.

---

Arrangement two

SrHg2H after structural relaxation, computed with GGA-PBE.

```
data_SrHg2H
_symmetry_space_group_name_H-M 'P 1'
_symmetry_Int_Tables_number 1
_symmetry_space_group_name_Hall 'P 1'
_cell_length_a 7.1260
_cell_length_b 7.1260
_cell_length_c 7.1260
_cell_angle_alpha 96.16
_cell_angle_beta 96.16
_cell_angle_gamma 141.77
loop_
_atom_site_label
_atom_site_type_symbol
_atom_site_fract_x
_atom_site_fract_y
_atom_site_fract_z
Sr1 Sr 0.0000 0.0000 0.0000
Sr2 Sr 0.7500 0.2500 0.5000
Hg1 Hg 0.2260 0.6250 0.1010
Hg2 Hg 0.3750 0.4760 0.6010
Hg3 Hg 0.5240 0.1250 0.8990
Hg4 Hg 0.8750 0.7740 0.3990
H1 H 0.2500 0.7500 0.5000
H2 H 0.5000 0.5000 0.0000
```

Results
DOS at the Fermi energy: 0.767 states/eV per atom
SG: No. 122
Total magnetization: 0.00 μB/f.u.

---

Which of them is least stable? Easy: arrangement one.

---

Arrangement one

Sr2HgH2 after structural relaxation, computed with GGA-PBE.

```
data_Sr2HgH2
_symmetry_space_group_name_H-M 'P 1'
_symmetry_Int_Tables_number 1
_symmetry_space_group_name_Hall 'P 1'
_cell_length_a 7.4445
_cell_length_b 7.4445
_cell_length_c 7.4445
_cell_angle_alpha 148.29
_cell_angle_beta 148.29
_cell_angle_gamma 45.46
loop_
_atom_site_label
_atom_site_type_symbol
_atom_site_fract_x
_atom_site_fract_y
_atom_site_fract_z
Sr1 Sr 0.1504 0.1504 0.0000
Sr2 Sr 0.8496 0.8496 0.0000
Hg1 Hg 0.5000 0.5000 0.0000
H1 H 0.2500 0.7500 0.5000
H2 H 0.7500 0.2500 0.5000
```

Results
DOS at the Fermi energy: 0.483 states/eV per atom
SG: No. 139
Total magnetization: 0.00 μB/f.u.

---

Arrangement two

Sr2HgH2 after structural relaxation, computed with GGA-PBE.

```
data_Sr2HgH2
_symmetry_space_group_name_H-M 'P 1'
_symmetry_Int_Tables_number 1
_symmetry_space_group_name_Hall 'P 1'
_cell_length_a 5.8584
_cell_length_b 5.8584
_cell_length_c 5.8584
_cell_angle_alpha 127.79
_cell_angle_beta 127.79
_cell_angle_gamma 76.97
loop_
_atom_site_label
_atom_site_type_symbol
_atom_site_fract_x
_atom_site_fract_y
_atom_site_fract_z
Sr1 Sr 0.2500 0.7500 0.5000
Sr2 Sr 0.7500 0.2500 0.5000
Hg1 Hg 0.0000 0.0000 0.0000
H1 H 0.2733 0.2733 0.0000
H2 H 0.7267 0.7267 0.0000
```

Results
DOS at the Fermi energy: 0.268 states/eV per atom
SG: No. 139
Total magnetization: 0.00 μB/f.u.

---

Which of them is least stable? Easy: arrangement two.

---

Arrangement one

Sr2HgH2 after structural relaxation, computed with GGA-PBE.

```
data_Sr2HgH2
_symmetry_space_group_name_H-M 'P 1'
_symmetry_Int_Tables_number 1
_symmetry_space_group_name_Hall 'P 1'
_cell_length_a 8.3421
_cell_length_b 8.3421
_cell_length_c 3.4140
_cell_angle_alpha 90.00
_cell_angle_beta 90.00
_cell_angle_gamma 90.00
loop_
_atom_site_label
_atom_site_type_symbol
_atom_site_fract_x
_atom_site_fract_y
_atom_site_fract_z
Sr1 Sr 0.1405 0.3595 0.0000
Sr2 Sr 0.3595 0.8595 0.0000
Sr3 Sr 0.6405 0.1405 0.0000
Sr4 Sr 0.8595 0.6405 0.0000
Hg1 Hg 0.0000 0.0000 0.0000
Hg2 Hg 0.5000 0.5000 0.0000
H1 H 0.0949 0.5949 0.5000
H2 H 0.4051 0.0949 0.5000
H3 H 0.5949 0.9051 0.5000
H4 H 0.9051 0.4051 0.5000
```

Results
DOS at the Fermi energy: 0.644 states/eV per atom
SG: No. 127
Total magnetization: 0.00 μB/f.u.

---

Arrangement two

Sr2HgH2 after structural relaxation, computed with GGA-PBE.

```
data_Sr2HgH2
_symmetry_space_group_name_H-M 'P 1'
_symmetry_Int_Tables_number 1
_symmetry_space_group_name_Hall 'P 1'
_cell_length_a 7.7272
_cell_length_b 7.7272
_cell_length_c 3.5394
_cell_angle_alpha 90.00
_cell_angle_beta 90.00
_cell_angle_gamma 90.00
loop_
_atom_site_label
_atom_site_type_symbol
_atom_site_fract_x
_atom_site_fract_y
_atom_site_fract_z
Sr1 Sr 0.1749 0.3251 0.0000
Sr2 Sr 0.3251 0.8251 0.0000
Sr3 Sr 0.6749 0.1749 0.0000
Sr4 Sr 0.8251 0.6749 0.0000
Hg1 Hg 0.0000 0.0000 0.5000
Hg2 Hg 0.5000 0.5000 0.5000
H1 H 0.1191 0.6191 0.5000
H2 H 0.3809 0.1191 0.5000
H3 H 0.6191 0.8809 0.5000
H4 H 0.8809 0.3809 0.5000
```

Results
DOS at the Fermi energy: 0.358 states/eV per atom
SG: No. 127
Total magnetization: 0.00 μB/f.u.

---

Which of them is least stable? Easy: arrangement one.

---

Arrangement one

SrHgH3 after structural relaxation, computed with GGA-PBE.

```
data_SrHgH3
_symmetry_space_group_name_H-M 'P 1'
_symmetry_Int_Tables_number 1
_symmetry_space_group_name_Hall 'P 1'
_cell_length_a 4.1417
_cell_length_b 4.1417
_cell_length_c 4.1417
_cell_angle_alpha 90.00
_cell_angle_beta 90.00
_cell_angle_gamma 90.00
loop_
_atom_site_label
_atom_site_type_symbol
_atom_site_fract_x
_atom_site_fract_y
_atom_site_fract_z
Sr1 Sr 0.0000 0.0000 0.0000
Hg1 Hg 0.5000 0.5000 0.5000
H1 H 0.0000 0.5000 0.5000
H2 H 0.5000 0.0000 0.5000
H3 H 0.5000 0.5000 0.0000
```

Results
DOS at the Fermi energy: 0.233 states/eV per atom
SG: No. 221
Total magnetization: 0.00 μB/f.u.

---

Arrangement two

SrHgH3 after structural relaxation, computed with GGA-PBE.

```
data_SrHgH3
_symmetry_space_group_name_H-M 'P 1'
_symmetry_Int_Tables_number 1
_symmetry_space_group_name_Hall 'P 1'
_cell_length_a 7.2907
_cell_length_b 6.0136
_cell_length_c 6.9742
_cell_angle_alpha 90.00
_cell_angle_beta 90.00
_cell_angle_gamma 90.00
loop_
_atom_site_label
_atom_site_type_symbol
_atom_site_fract_x
_atom_site_fract_y
_atom_site_fract_z
Sr1 Sr 0.1746 0.2500 0.1410
Sr2 Sr 0.3254 0.7500 0.6410
Sr3 Sr 0.6746 0.2500 0.3590
Sr4 Sr 0.8254 0.7500 0.8590
Hg1 Hg 0.0068 0.2500 0.7147
Hg2 Hg 0.4932 0.7500 0.2147
Hg3 Hg 0.5068 0.2500 0.7853
Hg4 Hg 0.9932 0.7500 0.2853
H1 H 0.0043 0.2500 0.4561
H2 H 0.1133 0.0018 0.8444
H3 H 0.1133 0.4982 0.8444
H4 H 0.3867 0.5018 0.3444
H5 H 0.3867 0.9982 0.3444
H6 H 0.4957 0.7500 0.9561
H7 H 0.5043 0.2500 0.0439
H8 H 0.6133 0.0018 0.6556
H9 H 0.6133 0.4982 0.6556
H10 H 0.8867 0.5018 0.1556
H11 H 0.8867 0.9982 0.1556
H12 H 0.9957 0.7500 0.5439
```

Results
DOS at the Fermi energy: 0.084 states/eV per atom
SG: No. 62
Total magnetization: 0.00 μB/f.u.

---

Arrangement three

SrHgH3 after structural relaxation, computed with GGA-PBE.

```
data_SrHgH3
_symmetry_space_group_name_H-M 'P 1'
_symmetry_Int_Tables_number 1
_symmetry_space_group_name_Hall 'P 1'
_cell_length_a 4.5093
_cell_length_b 4.5093
_cell_length_c 4.5093
_cell_angle_alpha 90.00
_cell_angle_beta 90.00
_cell_angle_gamma 90.00
loop_
_atom_site_label
_atom_site_type_symbol
_atom_site_fract_x
_atom_site_fract_y
_atom_site_fract_z
Sr1 Sr 0.0000 0.0000 0.0000
Hg1 Hg 0.5000 0.5000 0.5000
H1 H 0.0000 0.0000 0.5000
H2 H 0.0000 0.5000 0.0000
H3 H 0.5000 0.0000 0.0000
```

Results
DOS at the Fermi energy: 0.305 states/eV per atom
SG: No. 221
Total magnetization: 0.00 μB/f.u.

---

Which of them is least stable? Easy: arrangement three.

---

Arrangement one

Sr2TlHgH after structural relaxation, computed with GGA-PBE.

```
data_Sr2TlHgH
_symmetry_space_group_name_H-M 'P 1'
_symmetry_Int_Tables_number 1
_symmetry_space_group_name_Hall 'P 1'
_cell_length_a 5.4342
_cell_length_b 5.4342
_cell_length_c 4.5586
_cell_angle_alpha 90.00
_cell_angle_beta 90.00
_cell_angle_gamma 90.00
loop_
_atom_site_label
_atom_site_type_symbol
_atom_site_fract_x
_atom_site_fract_y
_atom_site_fract_z
Sr1 Sr 0.0000 0.5000 0.0000
Sr2 Sr 0.5000 0.0000 0.0000
Tl1 Tl 0.0000 0.0000 0.5000
Hg1 Hg 0.5000 0.5000 0.5000
H1 H 0.0000 0.0000 0.0000
```

Results
DOS at the Fermi energy: 0.424 states/eV per atom
SG: No. 123
Total magnetization: 0.00 μB/f.u.

---

Arrangement two

Sr2TlHgH after structural relaxation, computed with GGA-PBE.

```
data_Sr2TlHgH
_symmetry_space_group_name_H-M 'P 1'
_symmetry_Int_Tables_number 1
_symmetry_space_group_name_Hall 'P 1'
_cell_length_a 5.4492
_cell_length_b 5.4492
_cell_length_c 4.4211
_cell_angle_alpha 90.00
_cell_angle_beta 90.00
_cell_angle_gamma 90.00
loop_
_atom_site_label
_atom_site_type_symbol
_atom_site_fract_x
_atom_site_fract_y
_atom_site_fract_z
Sr1 Sr 0.0000 0.5000 0.0000
Sr2 Sr 0.5000 0.0000 0.0000
Tl1 Tl 0.0000 0.0000 0.5000
Hg1 Hg 0.5000 0.5000 0.5000
H1 H 0.5000 0.5000 0.0000
```

Results
DOS at the Fermi energy: 0.501 states/eV per atom
SG: No. 123
Total magnetization: 0.00 μB/f.u.

---

Which of them is least stable? Easy: arrangement one.

---

Arrangement one

TaHgH3 after structural relaxation, computed with GGA-PBE.

```
data_TaHgH3
_symmetry_space_group_name_H-M 'P 1'
_symmetry_Int_Tables_number 1
_symmetry_space_group_name_Hall 'P 1'
_cell_length_a 3.7292
_cell_length_b 3.7292
_cell_length_c 3.7292
_cell_angle_alpha 90.00
_cell_angle_beta 90.00
_cell_angle_gamma 90.00
loop_
_atom_site_label
_atom_site_type_symbol
_atom_site_fract_x
_atom_site_fract_y
_atom_site_fract_z
Ta1 Ta 0.0000 0.0000 0.0000
Hg1 Hg 0.5000 0.5000 0.5000
H1 H 0.0000 0.0000 0.5000
H2 H 0.0000 0.5000 0.0000
H3 H 0.5000 0.0000 0.0000
```

Results
DOS at the Fermi energy: 0.407 states/eV per atom
SG: No. 221
Total magnetization: 0.00 μB/f.u.

---

Arrangement two

TaHgH3 after structural relaxation, computed with GGA-PBE.

```
data_TaHgH3
_symmetry_space_group_name_H-M 'P 1'
_symmetry_Int_Tables_number 1
_symmetry_space_group_name_Hall 'P 1'
_cell_length_a 3.7136
_cell_length_b 3.7136
_cell_length_c 3.7136
_cell_angle_alpha 90.00
_cell_angle_beta 90.00
_cell_angle_gamma 90.00
loop_
_atom_site_label
_atom_site_type_symbol
_atom_site_fract_x
_atom_site_fract_y
_atom_site_fract_z
Ta1 Ta 0.0000 0.0000 0.0000
Hg1 Hg 0.5000 0.5000 0.5000
H1 H 0.0000 0.5000 0.5000
H2 H 0.5000 0.0000 0.5000
H3 H 0.5000 0.5000 0.0000
```

Results
DOS at the Fermi energy: 0.388 states/eV per atom
SG: No. 221
Total magnetization: 0.00 μB/f.u.

---

Which of them is least stable? Easy: arrangement two.